1.
The following is a DFT calculation (PBE) of a relaxed structure of CaFe2Rh.

DFT formation energy ... 0.230 eV/atom
Spin magnetization ... 1.517 μB per atom
Volume ... 16.366 Å³ per atom

Cell lengths 5.4954, 5.4954, 5.4954 Å; angles 148.04, 131.27, 59.47 degrees
Each line ends with the local moment (μB).
Element x y z (fractional)
Ca 0.2500 0.7500 0.5000  -0.08
Rh 0.7500 0.2500 0.5000  0.53
Fe 0.9763 0.9763 0.0000  2.89
Fe 0.5237 0.5237 0.0000  2.89


2.
The following is a DFT calculation (PBE) of a relaxed structure of Ga3Fe5S12.

Spin magnetization ... 0.264 μB per atom
ΔE_f (raw) ... -0.243 eV/atom
Volume ... 18.366 Å³ per atom

Cell lengths 12.4043, 12.4043, 12.4043 Å; angles 109.47, 109.47, 109.47 degrees
Each line ends with the local moment (μB).
Element x y z (fractional)
Ga 0.7500 0.3750 0.1250  0.01
Ga 0.8750 0.7500 0.1250  0.01
Ga 0.3750 0.7500 0.6250  0.01
Ga 0.2500 0.1250 0.3750  0.01
Ga 0.8750 0.1250 0.2500  0.01
Ga 0.3750 0.6250 0.2500  0.01
Ga 0.6250 0.3750 0.7500  0.01
Ga 0.1250 0.8750 0.7500  0.01
Ga 0.7500 0.8750 0.6250  0.01
Ga 0.6250 0.2500 0.3750  0.01
Ga 0.1250 0.2500 0.8750  0.01
Ga 0.2500 0.6250 0.8750  0.01
Fe 0.1250 0.3750 0.2500  1.72
Fe 0.0000 0.5000 0.0000  -0.16
Fe 0.0000 0.0000 0.0000  -0.16
Fe 0.3750 0.2500 0.1250  1.72
Fe 0.5000 0.0000 0.5000  -0.16
Fe 0.5000 0.5000 0.0000  -0.16
Fe 0.1250 0.7500 0.3750  1.72
Fe 0.7500 0.1250 0.8750  1.72
Fe 0.7500 0.6250 0.3750  1.72
Fe 0.3750 0.1250 0.7500  1.72
Fe 0.6250 0.8750 0.2500  1.72
Fe 0.5000 0.5000 0.5000  -0.16
Fe 0.5000 0.0000 0.0000  -0.16
Fe 0.0000 0.0000 0.5000  -0.16
Fe 0.2500 0.3750 0.6250  1.72
Fe 0.2500 0.8750 0.1250  1.72
Fe 0.0000 0.5000 0.5000  -0.16
Fe 0.8750 0.2500 0.6250  1.72
Fe 0.6250 0.7500 0.8750  1.72
Fe 0.8750 0.6250 0.7500  1.72
S 0.6819 0.1366 0.0138  0.00
S 0.3320 0.5138 0.3772  0.00
S 0.9862 0.3634 0.3181  0.00
S 0.5138 0.1819 0.1366  0.00
S 0.5452 0.6819 0.6680  0.00
S 0.9862 0.6228 0.1680  0.00
S 0.3320 0.8181 0.4548  0.00
S 0.1228 0.9548 0.1366  0.00
S 0.6228 0.9862 0.6680  0.00
S 0.6819 0.5452 0.1680  0.00
S 0.8181 0.4862 0.3634  0.00
S 0.8320 0.8772 0.0138  0.00
S 0.1366 0.6819 0.5138  0.00
S 0.3634 0.3772 0.0452  0.00
S 0.0452 0.8772 0.3634  0.00
S 0.4548 0.1366 0.6228  0.00
S 0.0452 0.1680 0.1819  0.00
S 0.4862 0.6680 0.1228  0.00
S 0.8320 0.9548 0.3181  0.00
S 0.1366 0.4548 0.1228  0.00
S 0.3634 0.9862 0.8181  0.00
S 0.6228 0.6367 0.4548  0.00
S 0.8772 0.8320 0.5138  0.00
S 0.8181 0.3320 0.9548  0.00
S 0.3772 0.3634 0.5452  0.00
S 0.1228 0.1680 0.4862  0.00
S 0.1819 0.6680 0.0452  0.00
S 0.1680 0.0452 0.6819  0.00
S 0.6367 0.0138 0.1819  0.00
S 0.8634 0.5452 0.8772  0.00
S 0.5138 0.3320 0.8772  0.00
S 0.5452 0.8634 0.3772  0.00
S 0.9548 0.8320 0.8181  0.00
S 0.9548 0.1228 0.6367  0.00
S 0.8634 0.3181 0.4862  0.00
S 0.1680 0.1228 0.9862  0.00
S 0.6367 0.6228 0.9548  0.00
S 0.3772 0.0138 0.3320  0.00
S 0.3181 0.4548 0.8320  0.00
S 0.1819 0.5138 0.6367  0.00
S 0.8772 0.0452 0.8634  0.00
S 0.6680 0.1819 0.5452  0.00
S 0.4862 0.8181 0.8634  0.00
S 0.0138 0.3772 0.8320  0.00
S 0.4548 0.3181 0.3320  0.00
S 0.0138 0.6367 0.6819  0.00
S 0.6680 0.4862 0.6228  0.00
S 0.3181 0.8634 0.9862  0.00


3.
The following is a DFT calculation (PBE) of a relaxed structure of SmYPSe.

Spin magnetization ... 0.000 μB per atom
ΔE_f (raw) ... -1.734 eV/atom
Volume ... 24.656 Å³ per atom

Cell lengths 4.0160, 4.0167, 7.4306 Å; angles 90.00, 105.67, 120.00 degrees
Element x y z (fractional)
Sm 0.4870 0.1414 0.6436
Y 0.1183 0.9571 0.0907
P 0.3094 0.5526 0.8773
Se 0.9633 0.3797 0.3581


4.
The following is a DFT calculation (PBE) of a relaxed structure of Tc2SF8.

Spin magnetization ... 0.000 μB per atom
ΔE_f (raw) ... -1.449 eV/atom
Volume ... 19.194 Å³ per atom

Cell lengths 7.1166, 5.7944, 5.7945 Å; angles 101.38, 74.07, 74.07 degrees
Each line ends with the local moment (μB).
Element x y z (fractional)
S 0.0000 0.0000 0.0000  0.18
Tc 0.6405 0.0496 0.0496  -0.15
Tc 0.3595 0.9504 0.9504  -0.15
F 0.7059 0.1206 0.7423  -0.01
F 0.2941 0.2577 0.8794  -0.01
F 0.9286 0.2608 0.2608  0.04
F 0.0714 0.7392 0.7392  0.04
F 0.7059 0.7423 0.1206  -0.01
F 0.2941 0.8794 0.2577  -0.01
F 0.4789 0.3228 0.3228  0.00
F 0.5211 0.6772 0.6772  0.00


5.
The following is a DFT calculation (PBE) of a relaxed structure of LiCrCu.

DFT formation energy ... 0.408 eV/atom
ΔE to the lowest computed polymorph ... 163 meV/atom
Spin magnetization ... 1.306 μB per atom
Volume ... 14.009 Å³ per atom

Cell lengths 4.8776, 4.8776, 4.8776 Å; angles 142.84, 142.89, 53.53 degrees
Each line ends with the local moment (μB).
Element x y z (fractional)
Cr 0.9917 0.9917 0.0000  3.44
Cu 0.3310 0.3310 0.0000  0.12
Li 0.6773 0.6773 0.0000  0.01


6.
The following is a DFT calculation (PBE) of a relaxed structure of LiSc2In9.

DFT formation energy ... -0.237 eV/atom
Spin magnetization ... 0.000 μB per atom
Volume ... 23.324 Å³ per atom

Cell lengths 4.5168, 4.5168, 13.7189 Å; angles 90.00, 90.00, 90.00 degrees
Element x y z (fractional)
Li 0.0000 0.0000 0.0000
Sc 0.0000 0.0000 0.3355
Sc 0.0000 0.0000 0.6645
In 0.5000 0.5000 0.0000
In 0.5000 0.5000 0.3338
In 0.5000 0.5000 0.6662
In 0.5000 0.0000 0.1653
In 0.5000 0.0000 0.5000
In 0.5000 0.0000 0.8347
In 0.0000 0.5000 0.1653
In 0.0000 0.5000 0.5000
In 0.0000 0.5000 0.8347


7.
The following is a DFT calculation (PBE) of a relaxed structure of LaPPt4.

DFT formation energy ... -0.470 eV/atom
ΔE to the lowest computed polymorph ... 305 meV/atom
Spin magnetization ... 0.000 μB per atom
Volume ... 18.726 Å³ per atom

Cell lengths 5.4163, 5.4163, 5.4163 Å; angles 60.00, 60.00, 60.00 degrees
Element x y z (fractional)
La 0.7500 0.7500 0.7500
P 0.0000 0.0000 0.0000
Pt 0.8765 0.3745 0.3745
Pt 0.3745 0.3745 0.8765
Pt 0.3745 0.8765 0.3745
Pt 0.3745 0.3745 0.3745


8.
The following is a DFT calculation (PBE) of a relaxed structure of BaSb3O.

ΔE to the lowest computed polymorph ... 2044 meV/atom
Spin magnetization ... 0.000 μB per atom
ΔE_f (raw) ... 1.552 eV/atom
Volume ... 50.551 Å³ per atom

Cell lengths 6.3227, 6.3227, 6.3227 Å; angles 90.00, 90.00, 90.00 degrees
Element x y z (fractional)
Sb 0.0000 0.5000 0.0000
Sb 0.0000 0.0000 0.5000
Sb 0.5000 0.0000 0.0000
Ba 0.0000 0.0000 0.0000
O 0.5000 0.5000 0.5000


9.
The following is a DFT calculation (PBE) of a relaxed structure of La2USb2N2.

Spin magnetization ... 0.061 μB per atom
ΔE_f (raw) ... -1.141 eV/atom
Volume ... 23.124 Å³ per atom

Cell lengths 4.4035, 4.4035, 8.9095 Å; angles 104.31, 104.31, 90.00 degrees
Each line ends with the local moment (μB).
Element x y z (fractional)
La 0.3845 0.3845 0.7690  0.00
La 0.6155 0.6155 0.2310  0.00
U 0.0000 0.0000 0.0000  0.52
Sb 0.1846 0.1846 0.3692  -0.01
Sb 0.8154 0.8154 0.6308  -0.01
N 0.0000 0.5000 0.0000  -0.02
N 0.5000 0.0000 0.0000  -0.02


10.
The following is a DFT calculation (PBE) of a relaxed structure of Ca5TlHg4.

DFT formation energy ... -0.532 eV/atom
Spin magnetization ... 0.000 μB per atom
Volume ... 27.621 Å³ per atom

Cell lengths 3.8083, 3.8083, 19.0450 Å; angles 90.00, 90.00, 90.00 degrees
Element x y z (fractional)
Ca 0.5000 0.5000 0.1046
Ca 0.5000 0.5000 0.3010
Ca 0.5000 0.5000 0.5000
Ca 0.5000 0.5000 0.6990
Ca 0.5000 0.5000 0.8954
Tl 0.0000 0.0000 0.0000
Hg 0.0000 0.0000 0.2018
Hg 0.0000 0.0000 0.4011
Hg 0.0000 0.0000 0.5989
Hg 0.0000 0.0000 0.7982


11.
The following is a DFT calculation (PBE) of a relaxed structure of CaBeZn2.

DFT formation energy ... -0.072 eV/atom
Spin magnetization ... 0.000 μB per atom
Volume ... 19.114 Å³ per atom

Cell lengths 4.1380, 4.1380, 5.6833 Å; angles 68.66, 68.66, 59.97 degrees
Element x y z (fractional)
Be 0.4360 0.4360 0.6923
Zn 0.0517 0.0517 0.8452
Zn 0.7672 0.7672 0.6990
Ca 0.2451 0.2451 0.2635


12.
The following is a DFT calculation (PBE) of a relaxed structure of HoScAl6.

DFT formation energy ... -0.107 eV/atom
ΔE to the lowest computed polymorph ... 294 meV/atom
Spin magnetization ... 0.000 μB per atom
Volume ... 19.702 Å³ per atom

Cell lengths 5.4018, 5.4018, 5.4018 Å; angles 90.00, 90.00, 90.00 degrees
Element x y z (fractional)
Ho 0.5000 0.5000 0.5000
Sc 0.0000 0.0000 0.0000
Al 0.5000 0.7531 0.0000
Al 0.7531 0.0000 0.5000
Al 0.0000 0.5000 0.2469
Al 0.2469 0.0000 0.5000
Al 0.5000 0.2469 0.0000
Al 0.0000 0.5000 0.7531


13.
The following is a DFT calculation (PBE) of a relaxed structure of Ba4RhSeI2.

Spin magnetization ... 0.000 μB per atom
ΔE_f (raw) ... -1.282 eV/atom
Volume ... 41.076 Å³ per atom

Cell lengths 4.6767, 8.2951, 8.8472 Å; angles 106.78, 90.00, 90.00 degrees
Element x y z (fractional)
Ba 0.5000 0.2572 0.1974
Ba 0.5000 0.7428 0.8026
Ba 0.0000 0.2745 0.7971
Ba 0.0000 0.7255 0.2029
Rh 0.5000 0.5000 0.0000
Se 0.0000 0.0000 0.0000
I 0.5000 0.0000 0.5000
I 0.0000 0.5000 0.5000


14.
The following is a DFT calculation (PBE) of a relaxed structure of Tl2SbIr.

ΔE to the lowest computed polymorph ... 559 meV/atom
Spin magnetization ... 0.000 μB per atom
ΔE_f (raw) ... 0.643 eV/atom
Volume ... 23.110 Å³ per atom

Cell lengths 5.0753, 5.0753, 5.0753 Å; angles 60.00, 60.00, 60.00 degrees
Element x y z (fractional)
Sb 0.0000 0.0000 0.0000
Tl 0.2500 0.2500 0.2500
Tl 0.7500 0.7500 0.7500
Ir 0.5000 0.5000 0.5000


15.
The following is a DFT calculation (PBE) of a relaxed structure of ZrGe3Sb.

ΔE to the lowest computed polymorph ... 0 meV/atom
Spin magnetization ... 0.000 μB per atom
ΔE_f (raw) ... 0.555 eV/atom
Volume ... 28.393 Å³ per atom

Cell lengths 5.2166, 5.2166, 5.2166 Å; angles 90.00, 90.00, 90.00 degrees
Element x y z (fractional)
Sb 0.5000 0.5000 0.5000
Ge 0.0000 0.5000 0.0000
Ge 0.0000 0.0000 0.5000
Ge 0.5000 0.0000 0.0000
Zr 0.0000 0.0000 0.0000


16.
The following is a DFT calculation (PBE) of a relaxed structure of CrHgAs2.

DFT formation energy ... 0.357 eV/atom
Spin magnetization ... 0.904 μB per atom
Volume ... 19.609 Å³ per atom

Cell lengths 6.3872, 4.6226, 3.8130 Å; angles 84.29, 63.06, 120.27 degrees
Each line ends with the local moment (μB).
Element x y z (fractional)
As 0.0000 0.0000 0.0000  -0.10
As 0.5000 0.0000 0.5000  -0.10
Cr 0.0000 0.5000 0.5000  3.58
Hg 0.5000 0.5000 0.0000  0.00


17.
The following is a DFT calculation (PBE) of a relaxed structure of CdCIN2.

ΔE to the lowest computed polymorph ... 0 meV/atom
Spin magnetization ... 0.520 μB per atom
ΔE_f (raw) ... 2.487 eV/atom
Volume ... 14.967 Å³ per atom

Cell lengths 4.0542, 4.0542, 4.5529 Å; angles 90.00, 90.00, 90.00 degrees
Each line ends with the local moment (μB).
Element x y z (fractional)
I 0.0000 0.0000 0.5000  0.13
C 0.0000 0.0000 0.0000  -0.06
N 0.0000 0.5000 0.0000  0.90
N 0.5000 0.0000 0.0000  0.90
Cd 0.5000 0.5000 0.5000  -0.01


18.
The following is a DFT calculation (PBE) of a relaxed structure of Ac5CdSn4.

DFT formation energy ... -0.538 eV/atom
Spin magnetization ... 0.000 μB per atom
Volume ... 34.375 Å³ per atom

Cell lengths 4.2039, 4.2039, 19.4510 Å; angles 90.00, 90.00, 90.00 degrees
Element x y z (fractional)
Ac 0.5000 0.5000 0.1027
Ac 0.5000 0.5000 0.3027
Ac 0.5000 0.5000 0.5000
Ac 0.5000 0.5000 0.6973
Ac 0.5000 0.5000 0.8973
Cd 0.0000 0.0000 0.0000
Sn 0.0000 0.0000 0.2001
Sn 0.0000 0.0000 0.4019
Sn 0.0000 0.0000 0.5981
Sn 0.0000 0.0000 0.7999